# 1
Tb2Pr3Dy6Pu | GGA-PBE | relaxed

```
data_Tb2Pr3Dy6Pu
_cell_length_a 6.2075
_cell_length_b 6.2075
_cell_length_c 11.7760
_cell_angle_alpha 95.05
_cell_angle_beta 95.05
_cell_angle_gamma 120.03
_symmetry_space_group_name_H-M 'P 1'
_symmetry_Int_Tables_number 1
loop_
_symmetry_equiv_pos_as_xyz
'x,y,z'
loop_
_atom_site_label
_atom_site_type_symbol
_atom_site_fract_x
_atom_site_fract_y
_atom_site_fract_z
Tb1 Tb 0.1666 0.8334 0.0000
Tb2 Tb 0.8334 0.1666 0.0000
Pr1 Pr 0.0000 0.0000 0.5000
Pr2 Pr 0.3329 0.6671 0.5000
Pr3 Pr 0.6671 0.3329 0.5000
Dy1 Dy 0.0898 0.4186 0.7560
Dy2 Dy 0.2523 0.2523 0.2442
Dy3 Dy 0.4186 0.0898 0.7560
Dy4 Dy 0.5814 0.9102 0.2440
Dy5 Dy 0.7477 0.7477 0.7558
Dy6 Dy 0.9102 0.5814 0.2440
Pu1 Pu 0.5000 0.5000 0.0000
```

Summary:
* energy of formation from the pure elements: 52 kJ/mol of formula units
* V: 32.23 A^3/atom
* DOS(E_F): 1.89 states/eV/atom

# 2
PrDy2Pu3Te6 | GGA-PBE | relaxed

```
data_PrDy2Pu3Te6
_cell_length_a 9.8828
_cell_length_b 9.8828
_cell_length_c 8.8582
_cell_angle_alpha 102.52
_cell_angle_beta 102.52
_cell_angle_gamma 25.79
_symmetry_space_group_name_H-M 'P 1'
_symmetry_Int_Tables_number 1
loop_
_symmetry_equiv_pos_as_xyz
'x,y,z'
loop_
_atom_site_label
_atom_site_type_symbol
_atom_site_fract_x
_atom_site_fract_y
_atom_site_fract_z
Pr1 Pr 0.0000 0.0000 0.0000
Dy1 Dy 0.3337 0.3337 0.6652
Dy2 Dy 0.6663 0.6663 0.3348
Pu1 Pu 0.0000 0.0000 0.5000
Pu2 Pu 0.3358 0.3358 0.1653
Pu3 Pu 0.6642 0.6642 0.8347
Te1 Te 0.1684 0.1684 0.5818
Te2 Te 0.1699 0.1699 0.0897
Te3 Te 0.4975 0.4975 0.7427
Te4 Te 0.5025 0.5025 0.2573
Te5 Te 0.8301 0.8301 0.9103
Te6 Te 0.8316 0.8316 0.4182
```

Summary:
* E_form (uncorrected): -1.23 eV/atom
* V: 30.58 A^3/atom
* DOS(E_F): 2.86 states/eV/atom

# 3
PrDy3Pu2Te6 | GGA-PBE | relaxed

```
data_PrDy3Pu2Te6
_cell_length_a 9.8778
_cell_length_b 9.8778
_cell_length_c 8.8643
_cell_angle_alpha 103.39
_cell_angle_beta 103.39
_cell_angle_gamma 25.65
_symmetry_space_group_name_H-M 'P 1'
_symmetry_Int_Tables_number 1
loop_
_symmetry_equiv_pos_as_xyz
'x,y,z'
loop_
_atom_site_label
_atom_site_type_symbol
_atom_site_fract_x
_atom_site_fract_y
_atom_site_fract_z
Pr1 Pr 0.0000 0.0000 0.0000
Dy1 Dy 0.0000 0.0000 0.5000
Dy2 Dy 0.3356 0.3356 0.1659
Dy3 Dy 0.6644 0.6644 0.8341
Pu1 Pu 0.3338 0.3338 0.6669
Pu2 Pu 0.6662 0.6662 0.3331
Te1 Te 0.1657 0.1657 0.5870
Te2 Te 0.1707 0.1707 0.0825
Te3 Te 0.4995 0.4995 0.2594
Te4 Te 0.5005 0.5005 0.7406
Te5 Te 0.8293 0.8293 0.9175
Te6 Te 0.8343 0.8343 0.4130
```

Summary:
* E_form (uncorrected): -1.27 eV/atom
* V: 30.31 A^3/atom
* DOS(E_F): 1.96 states/eV/atom

# 4
Pr2DyPu3Te6 | GGA-PBE | relaxed

```
data_Pr2DyPu3Te6
_cell_length_a 9.9764
_cell_length_b 9.9764
_cell_length_c 8.9405
_cell_angle_alpha 103.47
_cell_angle_beta 103.47
_cell_angle_gamma 25.68
_symmetry_space_group_name_H-M 'P 1'
_symmetry_Int_Tables_number 1
loop_
_symmetry_equiv_pos_as_xyz
'x,y,z'
loop_
_atom_site_label
_atom_site_type_symbol
_atom_site_fract_x
_atom_site_fract_y
_atom_site_fract_z
Pr1 Pr 0.1674 0.1674 0.3362
Pr2 Pr 0.8326 0.8326 0.6638
Dy1 Dy 0.5000 0.5000 0.0000
Pu1 Pu 0.1692 0.1692 0.8350
Pu2 Pu 0.5000 0.5000 0.5000
Pu3 Pu 0.8308 0.8308 0.1650
Te1 Te 0.0027 0.0027 0.7557
Te2 Te 0.3357 0.3357 0.4104
Te3 Te 0.3359 0.3359 0.9225
Te4 Te 0.6641 0.6641 0.0775
Te5 Te 0.6643 0.6643 0.5896
Te6 Te 0.9973 0.9973 0.2443
```

Summary:
* E_form (uncorrected): -1.26 eV/atom
* V: 31.20 A^3/atom
* DOS(E_F): 2.77 states/eV/atom

# 5
Pr4Dy3PuTe8 | GGA-PBE | relaxed

```
data_Pr4Dy3PuTe8
_cell_length_a 8.9691
_cell_length_b 8.9691
_cell_length_c 8.9691
_cell_angle_alpha 59.07
_cell_angle_beta 59.07
_cell_angle_gamma 59.07
_symmetry_space_group_name_H-M 'P 1'
_symmetry_Int_Tables_number 1
loop_
_symmetry_equiv_pos_as_xyz
'x,y,z'
loop_
_atom_site_label
_atom_site_type_symbol
_atom_site_fract_x
_atom_site_fract_y
_atom_site_fract_z
Pr1 Pr 0.0000 0.0000 0.0000
Pr2 Pr 0.0000 0.5000 0.5000
Pr3 Pr 0.5000 0.0000 0.5000
Pr4 Pr 0.5000 0.5000 0.0000
Dy1 Dy 0.0000 0.0000 0.5000
Dy2 Dy 0.0000 0.5000 0.0000
Dy3 Dy 0.5000 0.0000 0.0000
Pu1 Pu 0.5000 0.5000 0.5000
Te1 Te 0.2434 0.7469 0.7469
Te2 Te 0.2451 0.2451 0.2451
Te3 Te 0.2531 0.2531 0.7566
Te4 Te 0.2531 0.7566 0.2531
Te5 Te 0.7469 0.2434 0.7469
Te6 Te 0.7469 0.7469 0.2434
Te7 Te 0.7549 0.7549 0.7549
Te8 Te 0.7566 0.2531 0.2531
```

Summary:
* E_form (uncorrected): -1.35 eV/atom
* V: 31.21 A^3/atom
* DOS(E_F): 1.11 states/eV/atom

# 6
Pr3Dy3PuTe8 | GGA-PBE | relaxed

```
data_Pr3Dy3PuTe8
_cell_length_a 8.8896
_cell_length_b 8.8896
_cell_length_c 8.8896
_cell_angle_alpha 59.59
_cell_angle_beta 59.59
_cell_angle_gamma 59.59
_symmetry_space_group_name_H-M 'P 1'
_symmetry_Int_Tables_number 1
loop_
_symmetry_equiv_pos_as_xyz
'x,y,z'
loop_
_atom_site_label
_atom_site_type_symbol
_atom_site_fract_x
_atom_site_fract_y
_atom_site_fract_z
Pr1 Pr 0.0000 0.5000 0.5000
Pr2 Pr 0.5000 0.0000 0.5000
Pr3 Pr 0.5000 0.5000 0.0000
Dy1 Dy 0.0000 0.0000 0.5000
Dy2 Dy 0.0000 0.5000 0.0000
Dy3 Dy 0.5000 0.0000 0.0000
Pu1 Pu 0.5000 0.5000 0.5000
Te1 Te 0.2357 0.7550 0.7550
Te2 Te 0.2454 0.2454 0.2454
Te3 Te 0.2450 0.2450 0.7643
Te4 Te 0.2450 0.7643 0.2450
Te5 Te 0.7550 0.2357 0.7550
Te6 Te 0.7550 0.7550 0.2357
Te7 Te 0.7546 0.7546 0.7546
Te8 Te 0.7643 0.2450 0.2450
```

Summary:
* E_form (uncorrected): -1.37 eV/atom
* V: 32.81 A^3/atom
* DOS(E_F): 1.35 states/eV/atom